1.
Entry from Alexandria via LeMat-Bulk: a relaxed Ac6Si2BiBr3 crystal (PBE-GGA).

Cell: 4.6510 9.2634 10.3293 Å, 100.88 103.01 90.00°
Atoms (fractional coordinates):
Ac 0.3286 0.8805 0.6571
Ac 0.6740 0.5670 0.3481
Ac 0.6714 0.1195 0.3429
Ac 0.0154 0.2629 0.0308
Ac 0.9846 0.7371 0.9692
Ac 0.3260 0.4330 0.6519
Si 0.8307 0.6625 0.6614
Si 0.1693 0.3375 0.3386
Bi 0.5000 0.0000 0.0000
Br 0.5000 0.5000 0.0000
Br 0.8381 0.1653 0.6761
Br 0.1619 0.8347 0.3239

## Properties
- ΔE_f (raw): -1075.4 meV per atom
- Crystal system: monoclinic
- Total magnetization: 0.0 μB per formula unit

---

2.
Entry from Alexandria via LeMat-Bulk: a relaxed Ac4SiBiBr2 crystal (PBE-GGA).

Cell: 4.6655 7.8032 8.3892 Å, 70.08 90.00 90.00°
Atoms (fractional coordinates):
Ac 0.0000 0.7370 0.7263
Ac 0.0000 0.2630 0.2737
Ac 0.5000 0.7244 0.2810
Ac 0.5000 0.2756 0.7190
Si 0.0000 0.5000 0.5000
Bi 0.5000 0.5000 0.0000
Br 0.0000 0.0000 0.0000
Br 0.5000 0.0000 0.5000

## Properties
- ΔE_f (raw): -1083.3 meV per atom
- Crystal system: monoclinic
- Total magnetization: 0.0 μB per formula unit

---

3.
Entry from Alexandria via LeMat-Bulk: a relaxed AcSmBiBr crystal (PBE-GGA).

Cell: 5.6006 5.6006 5.6006 Å, 60.00 60.00 60.00°
Atoms (fractional coordinates):
Ac 0.0000 0.0000 0.0000
Br 0.7500 0.7500 0.7500
Bi 0.2500 0.2500 0.2500
Sm 0.5000 0.5000 0.5000

## Properties
- ΔE_f (raw): -971.4 meV per atom
- Crystal system: cubic
- Total magnetization: 0.0 μB per formula unit

---

4.
Entry from Alexandria via LeMat-Bulk: a relaxed AcTlBiBr crystal (PBE-GGA).

Cell: 5.7475 5.7475 5.7475 Å, 60.00 60.00 60.00°
Atoms (fractional coordinates):
Ac 0.0000 0.0000 0.0000
Br 0.7500 0.7500 0.7500
Bi 0.2500 0.2500 0.2500
Tl 0.5000 0.5000 0.5000

## Properties
- ΔE_f (raw): -833.3 meV per atom
- Crystal system: cubic
- Total magnetization: 0.0 μB per formula unit

---

Number 1: uncorrected energy -4.78 eV per atom, Fermi-level density of states 4.75 states/eV per cell. Number 2: uncorrected energy -4.72 eV per atom, Fermi-level density of states 4.24 states/eV per cell. Number 3: uncorrected energy -4.57 eV per atom, Fermi-level density of states 3.19 states/eV per cell. Number 4: uncorrected energy -3.84 eV per atom, Fermi-level density of states 0.38 states/eV per cell.